YHg2Pt: PBEsol geometry, meta-GGA SCAN.

Cell: 3.5370 3.5370 6.7782 Å, 90.00 90.00 90.00°
Space group P4mm (No. 99)
Asymmetric unit:
Y 0.0000 0.0000 0.0000 (multiplicity 1)
Hg 0.0000 0.0000 0.5493 (multiplicity 1)
Hg 0.5000 0.5000 0.2965 (multiplicity 1)
Pt 0.5000 0.5000 0.7933 (multiplicity 1)

Its density of states at the Fermi level is 1.7 states/eV per cell. The volume is 21.2 Å³/atom. The formation energy comes out at -627 meV/atom.